BeGa3B | the Alexandria database | PBE | optimized geometry; density of states at the Fermi level = 0.31 states/eV per atom; calculated density = 4.7 g cm⁻³; E_form = 721 meV/atom; symmetry = Pm-3m (221); V = 81.20 Å³ per cell; calculated total energy = -3.175 eV/atom; distance to the lowest polymorph of the same formula = 0.000 eV/atom
1.0
4.3304 0.0000 0.0000
0.0000 4.3304 0.0000
0.0000 0.0000 4.3304
Be Ga B
1 3 1
direct
0.0000 0.0000 0.0000 Be
0.0000 0.5000 0.5000 Ga
0.5000 0.0000 0.5000 Ga
0.5000 0.5000 0.0000 Ga
0.5000 0.5000 0.5000 B



BeGaB | the Alexandria database | PBE | optimized geometry; density of states at the Fermi level = 0.23 states/eV per atom; calculated density = 4.0 g cm⁻³; E_form = 294 meV/atom; symmetry = P-1 (2); V = 74.53 Å³ per cell; calculated total energy = -4.183 eV/atom
1.0
3.6148 0.0000 0.0000
-1.7929 3.1489 0.0000
-1.7538 -1.0153 6.5476
Be Ga B
2 2 2
direct
0.2283 0.3610 0.0935 Be
0.7717 0.6390 0.9065 Be
0.0134 0.7564 0.2740 Ga
0.9866 0.2436 0.7260 Ga
0.4145 0.4556 0.3772 B
0.5855 0.5444 0.6228 B



BeGaB5 | the Alexandria database | PBE | optimized geometry; density of states at the Fermi level = 0.17 states/eV per atom; calculated density = 3.3 g cm⁻³; E_form = 605 meV/atom; symmetry = C2/c (15); V = 132.96 Å³ per cell; calculated total energy = -5.130 eV/atom
1.0
3.3005 -3.3861 0.0000
3.3005 3.3861 0.0000
-0.0467 0.0000 5.9485
Be Ga B
2 2 10
direct
0.1522 0.8478 0.7500 Be
0.8478 0.1522 0.2500 Be
0.5000 0.5000 0.0000 Ga
0.5000 0.5000 0.5000 Ga
0.1273 0.2920 0.7518 B
0.1343 0.1343 0.0012 B
0.1343 0.1343 0.5012 B
0.2377 0.7623 0.2500 B
0.2920 0.1273 0.2518 B
0.7080 0.8727 0.7482 B
0.7623 0.2377 0.7500 B
0.8657 0.8657 0.4988 B
0.8657 0.8657 0.9988 B
0.8727 0.7080 0.2482 B